# 1
A plane-wave DFT calculation with PBE-GGA was carried out for an optimized crystal structure of K2MnP2.

Output
energy of formation = 728 meV per atom
SG = P4/mmm

abc: 3.155 3.155 14.612
angles: 90.00 90.00 90.00
Last column: magnetic moment on the atom in μB.
Element x y z (fractional)
K (0.500, 0.500, 0.640)  0.00
K (0.500, 0.500, 0.360)  0.00
P (0.500, 0.500, 0.844)  -0.07
P (0.500, 0.500, 0.156)  -0.07
Mn (0.500, 0.500, 0.000)  3.64

# 2
A plane-wave DFT calculation with PBE-GGA was carried out for an optimized crystal structure of K2MnP2.

Output
energy of formation = -393 meV per atom
SG = Ibam

abc: 5.703 7.928 7.928
angles: 53.08 68.92 68.92
Last column: magnetic moment on the atom in μB.
Element x y z (fractional)
P (0.908, 0.424, 0.760)  -0.01
P (0.092, 0.576, 0.240)  -0.01
P (0.592, 0.240, 0.576)  -0.01
P (0.408, 0.760, 0.424)  -0.01
K (0.349, 0.310, 0.991)  0.00
K (0.849, 0.991, 0.310)  0.00
K (0.651, 0.690, 0.009)  0.00
K (0.151, 0.009, 0.690)  0.00
Mn (0.750, 0.500, 0.500)  0.71
Mn (0.250, 0.500, 0.500)  0.71